# TePtNF2 PBEsol optimized geometry
data_TePtNF2
_cell_length_a 4.4447
_cell_length_b 4.4447
_cell_length_c 3.7237
_cell_angle_alpha 90.00
_cell_angle_beta 90.00
_cell_angle_gamma 90.00
_space_group_name_H-M_alt 'P 1'
_space_group_IT_number 1
_space_group_name_Hall 'P 1'
loop_
_atom_site_label
_atom_site_type_symbol
_atom_site_fract_x
_atom_site_fract_y
_atom_site_fract_z
Te1 Te 0.0000 0.0000 0.0000
Pt1 Pt 0.5000 0.5000 0.5000
N1 N 0.5000 0.5000 0.0000
F1 F 0.0000 0.5000 0.5000
F2 F 0.5000 0.0000 0.5000
# Electronic total energy in eV per atom: -4.473
# Formation energy from raw total energies in kJ per mole of atoms: 9.8